An optimized crystal structure of NaLa3Pb5, computed with PBE.

Unit cell a=9.8719 b=9.8719 c=6.6770 alpha=90.00 beta=90.00 gamma=120.00
Last column: nearest neighbours and their distance in Å.
Element x y z (fractional)
Na: 0.0000 0.0000 0.0000  2 Na 3.34, 6 Pb 3.38
Na: 0.0000 0.0000 0.5000  2 Na 3.34, 6 Pb 3.38
La: 0.0000 0.3679 0.2500  9 Pb 3.30-3.55
La: 0.0000 0.6321 0.7500  9 Pb 3.30-3.55
La: 0.3679 0.0000 0.2500  9 Pb 3.30-3.55
La: 0.3679 0.3679 0.7500  9 Pb 3.30-3.55
La: 0.6321 0.0000 0.7500  9 Pb 3.30-3.55
La: 0.6321 0.6321 0.2500  9 Pb 3.30-3.55
Pb: 0.0000 0.2975 0.7500  5 La 3.30-3.41, 2 Na 3.38
Pb: 0.0000 0.7025 0.2500  5 La 3.30-3.41, 2 Na 3.38
Pb: 0.2975 0.0000 0.7500  5 La 3.30-3.41, 2 Na 3.38
Pb: 0.2975 0.2975 0.2500  5 La 3.30-3.41, 2 Na 3.38
Pb: 0.3333 0.6667 0.0000  2 Pb 3.34, 6 La 3.55
Pb: 0.3333 0.6667 0.5000  2 Pb 3.34, 6 La 3.55
Pb: 0.6667 0.3333 0.0000  2 Pb 3.34, 6 La 3.55
Pb: 0.6667 0.3333 0.5000  2 Pb 3.34, 6 La 3.55
Pb: 0.7025 0.0000 0.2500  5 La 3.30-3.41, 2 Na 3.38
Pb: 0.7025 0.7025 0.7500  5 La 3.30-3.41, 2 Na 3.38

Properties
Size of the total moment in μB per formula unit: 0.0
Energy in eV per atom: -4.283

---

An optimized crystal structure of NaLa4Pb5, computed with PBE.

Unit cell a=4.2570 b=4.2570 c=17.5444 alpha=90.00 beta=90.00 gamma=90.00
Last column: nearest neighbours and their distance in Å.
Element x y z (fractional)
Na: 0.0000 0.0000 0.0000  8 Pb 3.50, 2 La 3.60
La: 0.0000 0.0000 0.2055  1 La 3.41, 8 Pb 3.44-3.52, 1 Na 3.60
La: 0.0000 0.0000 0.3999  2 La 3.41-3.51, 8 Pb 3.48
La: 0.0000 0.0000 0.6001  2 La 3.41-3.51, 8 Pb 3.48
La: 0.0000 0.0000 0.7945  1 La 3.41, 8 Pb 3.44-3.52, 1 Na 3.60
Pb: 0.5000 0.5000 0.1017  2 Pb 3.49-3.57, 4 Na 3.50, 4 La 3.52
Pb: 0.5000 0.5000 0.3009  8 La 3.44-3.48, 2 Pb 3.49
Pb: 0.5000 0.5000 0.5000  8 La 3.48, 2 Pb 3.49
Pb: 0.5000 0.5000 0.6991  8 La 3.44-3.48, 2 Pb 3.49
Pb: 0.5000 0.5000 0.8983  2 Pb 3.49-3.57, 4 Na 3.50, 4 La 3.52

Properties
Size of the total moment in μB per formula unit: 1.1
Energy in eV per atom: -4.410

---

An optimized crystal structure of Na2La3Pb3, computed with PBE.

Unit cell a=9.7895 b=9.7895 c=6.6562 alpha=90.00 beta=90.00 gamma=120.00
Last column: nearest neighbours and their distance in Å.
Element x y z (fractional)
Na: 0.3333 0.6667 0.0000  2 Na 3.33, 6 Pb 3.57
Na: 0.3333 0.6667 0.5000  2 Na 3.33, 6 Pb 3.57
Na: 0.6667 0.3333 0.0000  2 Na 3.33, 6 Pb 3.57
Na: 0.6667 0.3333 0.5000  2 Na 3.33, 6 Pb 3.57
La: 0.0000 0.3066 0.2500  5 Pb 3.27-3.36
La: 0.0000 0.6934 0.7500  5 Pb 3.27-3.36
La: 0.3066 0.0000 0.2500  5 Pb 3.27-3.36
La: 0.3066 0.3066 0.7500  5 Pb 3.27-3.36
La: 0.6934 0.0000 0.7500  5 Pb 3.27-3.36
La: 0.6934 0.6934 0.2500  5 Pb 3.27-3.36
Pb: 0.0000 0.3558 0.7500  5 La 3.27-3.36, 4 Na 3.57
Pb: 0.0000 0.6442 0.2500  5 La 3.27-3.36, 4 Na 3.57
Pb: 0.3558 0.0000 0.7500  5 La 3.27-3.36, 4 Na 3.57
Pb: 0.3558 0.3558 0.2500  5 La 3.27-3.36, 4 Na 3.57
Pb: 0.6442 0.0000 0.2500  5 La 3.27-3.36, 4 Na 3.57
Pb: 0.6442 0.6442 0.7500  5 La 3.27-3.36, 4 Na 3.57

Properties
Size of the total moment in μB per formula unit: 0.0
Energy in eV per atom: -3.981

---

An optimized crystal structure of NaLa2Pb, computed with PBE.

Unit cell a=4.2865 b=4.2865 c=7.4493 alpha=90.00 beta=90.00 gamma=90.00
Last column: nearest neighbours and their distance in Å.
Element x y z (fractional)
Na: 0.0000 0.0000 0.0000  8 La 3.71, 2 Pb 3.72
La: 0.5000 0.5000 0.2881  1 La 3.16, 4 Pb 3.42
La: 0.5000 0.5000 0.7119  1 La 3.16, 4 Pb 3.42
Pb: 0.0000 0.0000 0.5000  8 La 3.42, 2 Na 3.72

Properties
Size of the total moment in μB per formula unit: 0.0
Energy in eV per atom: -3.918

---

An optimized crystal structure of Na2LaPdPb, computed with PBE.

Unit cell a=5.3301 b=5.3301 c=5.6083 alpha=90.00 beta=90.00 gamma=90.00
Last column: nearest neighbours and their distance in Å.
Element x y z (fractional)
Na: 0.0000 0.5000 0.0000  2 Pd 2.67
Na: 0.5000 0.0000 0.0000  2 Pd 2.67
La: 0.0000 0.0000 0.5000  2 Pd 2.80
Pd: 0.0000 0.0000 0.0000  4 Na 2.67, 2 La 2.80
Pb: 0.5000 0.5000 0.5000  4 La 3.77, 8 Na 3.87

Properties
Size of the total moment in μB per formula unit: 0.0
Energy in eV per atom: -3.409

---

An optimized crystal structure of NaLaPdPb, computed with PBE.

Unit cell a=7.2205 b=7.2205 c=7.2205 alpha=90.00 beta=90.00 gamma=90.00
Last column: nearest neighbours and their distance in Å.
Element x y z (fractional)
Na: 0.0000 0.0000 0.0000  4 La 3.13, 4 Pb 3.13
Na: 0.0000 0.5000 0.5000  4 La 3.13, 4 Pb 3.13
Na: 0.5000 0.0000 0.5000  4 La 3.13, 4 Pb 3.13
Na: 0.5000 0.5000 0.0000  4 La 3.13, 4 Pb 3.13
La: 0.2500 0.2500 0.2500  4 Na 3.13, 4 Pd 3.13
La: 0.2500 0.7500 0.7500  4 Na 3.13, 4 Pd 3.13
La: 0.7500 0.2500 0.7500  4 Na 3.13, 4 Pd 3.13
La: 0.7500 0.7500 0.2500  4 Na 3.13, 4 Pd 3.13
Pd: 0.0000 0.0000 0.5000  4 La 3.13, 4 Pb 3.13
Pd: 0.0000 0.5000 0.0000  4 La 3.13, 4 Pb 3.13
Pd: 0.5000 0.0000 0.0000  4 La 3.13, 4 Pb 3.13
Pd: 0.5000 0.5000 0.5000  4 La 3.13, 4 Pb 3.13
Pb: 0.2500 0.2500 0.7500  4 Na 3.13, 4 Pd 3.13
Pb: 0.2500 0.7500 0.2500  4 Na 3.13, 4 Pd 3.13
Pb: 0.7500 0.2500 0.2500  4 Na 3.13, 4 Pd 3.13
Pb: 0.7500 0.7500 0.7500  4 Na 3.13, 4 Pd 3.13

Properties
Size of the total moment in μB per formula unit: 0.0
Energy in eV per atom: -4.269

---

An optimized crystal structure of NaLaPmPb, computed with PBE.

Unit cell a=7.9101 b=7.9101 c=7.9101 alpha=90.00 beta=90.00 gamma=90.00
Last column: nearest neighbours and their distance in Å.
Element x y z (fractional)
Na: 0.0000 0.0000 0.0000  4 La 3.43, 4 Pm 3.43
Na: 0.0000 0.5000 0.5000  4 La 3.43, 4 Pm 3.43
Na: 0.5000 0.0000 0.5000  4 La 3.43, 4 Pm 3.43
Na: 0.5000 0.5000 0.0000  4 La 3.43, 4 Pm 3.43
La: 0.2500 0.2500 0.2500  4 Pb 3.43, 4 Na 3.43
La: 0.2500 0.7500 0.7500  4 Pb 3.43, 4 Na 3.43
La: 0.7500 0.2500 0.7500  4 Pb 3.43, 4 Na 3.43
La: 0.7500 0.7500 0.2500  4 Pb 3.43, 4 Na 3.43
Pm: 0.2500 0.2500 0.7500  4 Pb 3.43, 4 Na 3.43
Pm: 0.2500 0.7500 0.2500  4 Pb 3.43, 4 Na 3.43
Pm: 0.7500 0.2500 0.2500  4 Pb 3.43, 4 Na 3.43
Pm: 0.7500 0.7500 0.7500  4 Na 3.43, 4 Pb 3.43
Pb: 0.0000 0.0000 0.5000  4 La 3.43, 4 Pm 3.43
Pb: 0.0000 0.5000 0.0000  4 La 3.43, 4 Pm 3.43
Pb: 0.5000 0.0000 0.0000  4 La 3.43, 4 Pm 3.43
Pb: 0.5000 0.5000 0.5000  4 La 3.43, 4 Pm 3.43

Properties
Size of the total moment in μB per formula unit: 0.0
Energy in eV per atom: -3.918

---

An optimized crystal structure of NaLaPrPb, computed with PBE.

Unit cell a=7.9610 b=7.9610 c=7.9610 alpha=90.00 beta=90.00 gamma=90.00
Last column: nearest neighbours and their distance in Å.
Element x y z (fractional)
Na: 0.0000 0.0000 0.0000  4 La 3.45, 4 Pr 3.45
Na: 0.0000 0.5000 0.5000  4 La 3.45, 4 Pr 3.45
Na: 0.5000 0.0000 0.5000  4 La 3.45, 4 Pr 3.45
Na: 0.5000 0.5000 0.0000  4 La 3.45, 4 Pr 3.45
La: 0.2500 0.2500 0.7500  4 Pb 3.45, 4 Na 3.45
La: 0.2500 0.7500 0.2500  4 Pb 3.45, 4 Na 3.45
La: 0.7500 0.2500 0.2500  4 Pb 3.45, 4 Na 3.45
La: 0.7500 0.7500 0.7500  4 Pb 3.45, 4 Na 3.45
Pr: 0.2500 0.2500 0.2500  4 Pb 3.45, 4 Na 3.45
Pr: 0.2500 0.7500 0.7500  4 Pb 3.45, 4 Na 3.45
Pr: 0.7500 0.2500 0.7500  4 Pb 3.45, 4 Na 3.45
Pr: 0.7500 0.7500 0.2500  4 Pb 3.45, 4 Na 3.45
Pb: 0.0000 0.0000 0.5000  4 La 3.45, 4 Pr 3.45
Pb: 0.0000 0.5000 0.0000  4 La 3.45, 4 Pr 3.45
Pb: 0.5000 0.0000 0.0000  4 La 3.45, 4 Pr 3.45
Pb: 0.5000 0.5000 0.5000  4 La 3.45, 4 Pr 3.45

Properties
Size of the total moment in μB per formula unit: 0.0
Energy in eV per atom: -3.942

---

- Among the records above, which one has the lowest energy?
  NaLa4Pb5

---

- The highest energy belongs to which entry?
  Na2LaPdPb